Entry 1:
# Pm8TlAg2 | Alexandria | PBE | optimized geometry
data_Pm8TlAg2
_chemical_formula_sum 'Pm8 Tl1 Ag2'
_cell_length_a 5.6064
_cell_length_b 8.5192
_cell_length_c 8.5192
_cell_angle_alpha 117.12
_cell_angle_beta 99.85
_cell_angle_gamma 99.85
_symmetry_space_group_name_H-M 'P 1'
_symmetry_Int_Tables_number 1
loop_
_symmetry_equiv_pos_as_xyz
'x,y,z'
loop_
_atom_site_label
_atom_site_fract_x
_atom_site_fract_y
_atom_site_fract_z
Pm1 0.9056 0.6835 0.9130
Pm2 0.0944 0.0870 0.3165
Pm3 0.5000 0.2311 0.7689
Pm4 0.0944 0.3165 0.0870
Pm5 0.3044 0.6009 0.6009
Pm6 0.6956 0.3991 0.3991
Pm7 0.5000 0.7689 0.2311
Pm8 0.9056 0.9130 0.6835
Ag1 0.0000 0.6930 0.3070
Ag2 0.0000 0.3070 0.6930
Tl1 0.5000 0.0000 0.0000
# Excess energy over the best structure of this formula in the dataset ... 96 meV/atom
# Total energy ... -4.237 eV per atom
# ΔH_f (0 K) ... -51 kJ/mol of formula units
# Total magnetization ... 0.0 μB/f.u.

=====

Entry 2:
# NaV3Cr | Alexandria | PBE | optimized geometry
data_NaV3Cr
_chemical_formula_sum 'Na1 V3 Cr1'
_cell_length_a 4.4458
_cell_length_b 4.4458
_cell_length_c 4.4458
_cell_angle_alpha 90.00
_cell_angle_beta 90.00
_cell_angle_gamma 90.00
_symmetry_space_group_name_H-M 'P 1'
_symmetry_Int_Tables_number 1
loop_
_symmetry_equiv_pos_as_xyz
'x,y,z'
loop_
_atom_site_label
_atom_site_fract_x
_atom_site_fract_y
_atom_site_fract_z
V1 0.0000 0.0000 0.5000
V2 0.0000 0.5000 0.0000
V3 0.5000 0.0000 0.0000
Cr1 0.0000 0.0000 0.0000
Na1 0.5000 0.5000 0.5000
# Excess energy over the best structure of this formula in the dataset ... 0 meV/atom
# Total energy ... -6.598 eV per atom
# ΔH_f (0 K) ... 512 kJ/mol of formula units
# Total magnetization ... 0.6 μB/f.u.

=====

Entry 3:
# TaP2Pt | Alexandria | PBE | optimized geometry
data_TaP2Pt
_chemical_formula_sum 'Ta1 P2 Pt1'
_cell_length_a 7.5942
_cell_length_b 7.5942
_cell_length_c 7.5942
_cell_angle_alpha 23.81
_cell_angle_beta 23.81
_cell_angle_gamma 23.81
_symmetry_space_group_name_H-M 'P 1'
_symmetry_Int_Tables_number 1
loop_
_symmetry_equiv_pos_as_xyz
'x,y,z'
loop_
_atom_site_label
_atom_site_fract_x
_atom_site_fract_y
_atom_site_fract_z
P1 0.0019 0.0019 0.0019
P2 0.4981 0.4981 0.4981
Pt1 0.2500 0.2500 0.2500
Ta1 0.7500 0.7500 0.7500
# Excess energy over the best structure of this formula in the dataset ... 453 meV/atom
# Total energy ... -7.258 eV per atom
# ΔH_f (0 K) ... -31 kJ/mol of formula units
# Total magnetization ... 0.0 μB/f.u.

=====

Entry 4:
# YCoW2 | Alexandria | PBE | optimized geometry
data_YCoW2
_chemical_formula_sum 'Y1 Co1 W2'
_cell_length_a 3.2045
_cell_length_b 4.3853
_cell_length_c 4.9277
_cell_angle_alpha 90.00
_cell_angle_beta 90.00
_cell_angle_gamma 90.00
_symmetry_space_group_name_H-M 'P 1'
_symmetry_Int_Tables_number 1
loop_
_symmetry_equiv_pos_as_xyz
'x,y,z'
loop_
_atom_site_label
_atom_site_fract_x
_atom_site_fract_y
_atom_site_fract_z
Co1 0.0000 0.5000 0.5000
W1 0.5000 0.5000 0.0000
W2 0.0000 0.0000 0.0000
Y1 0.5000 0.0000 0.5000
# Excess energy over the best structure of this formula in the dataset ... 149 meV/atom
# Total energy ... -9.441 eV per atom
# ΔH_f (0 K) ... 165 kJ/mol of formula units
# Total magnetization ... 0.9 μB/f.u.

=====

Entry 5:
# Sr2PmPb3 | Alexandria | PBE | optimized geometry
data_Sr2PmPb3
_chemical_formula_sum 'Sr4 Pm2 Pb6'
_cell_length_a 5.9611
_cell_length_b 9.3326
_cell_length_c 7.6554
_cell_angle_alpha 90.00
_cell_angle_beta 90.01
_cell_angle_gamma 71.38
_symmetry_space_group_name_H-M 'P 1'
_symmetry_Int_Tables_number 1
loop_
_symmetry_equiv_pos_as_xyz
'x,y,z'
loop_
_atom_site_label
_atom_site_fract_x
_atom_site_fract_y
_atom_site_fract_z
Sr1 0.0000 0.0000 0.5000
Sr2 0.6658 0.6684 0.5000
Sr3 0.3342 0.3316 0.5000
Sr4 0.0000 0.0000 0.0000
Pb1 0.5004 0.0000 0.7532
Pb2 0.1735 0.6534 0.2237
Pb3 0.8269 0.3466 0.2237
Pb4 0.4996 0.0000 0.2468
Pb5 0.1731 0.6534 0.7763
Pb6 0.8265 0.3466 0.7763
Pm1 0.6587 0.6827 0.0000
Pm2 0.3413 0.3173 0.0000
# Total energy ... -3.684 eV per atom
# ΔH_f (0 K) ... -277 kJ/mol of formula units
# Total magnetization ... 0.0 μB/f.u.

=====

Entry 6:
# Mg17Zn11Ga | Alexandria | PBE | optimized geometry
data_Mg17Zn11Ga
_chemical_formula_sum 'Mg17 Zn11 Ga1'
_cell_length_a 8.6761
_cell_length_b 8.6761
_cell_length_c 9.3221
_cell_angle_alpha 109.71
_cell_angle_beta 109.71
_cell_angle_gamma 107.82
_symmetry_space_group_name_H-M 'P 1'
_symmetry_Int_Tables_number 1
loop_
_symmetry_equiv_pos_as_xyz
'x,y,z'
loop_
_atom_site_label
_atom_site_fract_x
_atom_site_fract_y
_atom_site_fract_z
Mg1 0.6945 0.6945 0.3050
Mg2 0.0009 0.0009 0.9961
Mg3 0.9945 0.3560 0.9985
Mg4 0.2793 0.6781 0.6777
Mg5 0.9956 0.9956 0.3156
Mg6 0.4004 0.7197 0.4010
Mg7 0.3929 0.3929 0.7061
Mg8 0.6781 0.2793 0.6777
Mg9 0.6084 0.0020 0.3168
Mg10 0.0020 0.6084 0.3168
Mg11 0.3560 0.9945 0.9985
Mg12 0.5985 0.3278 0.0009
Mg13 0.3032 0.0015 0.6089
Mg14 0.0015 0.3032 0.6089
Mg15 0.6619 0.6619 0.6682
Mg16 0.7197 0.4004 0.4010
Mg17 0.3278 0.5985 0.0009
Ga1 0.3596 0.3596 0.1740
Zn1 0.8152 0.1897 0.1759
Zn2 0.6318 0.8178 0.9954
Zn3 0.9960 0.8045 0.6385
Zn4 0.1823 0.1823 0.8312
Zn5 0.0085 0.6327 0.8207
Zn6 0.1778 0.3691 0.3675
Zn7 0.6327 0.0085 0.8207
Zn8 0.3691 0.1778 0.3675
Zn9 0.8178 0.6318 0.9954
Zn10 0.1897 0.8152 0.1759
Zn11 0.8045 0.9960 0.6385
# Total energy ... -1.591 eV per atom
# ΔH_f (0 K) ... -193 kJ/mol of formula units
# Total magnetization ... 0.0 μB/f.u.

=====

Entry 7:
# SrLi2Fe | Alexandria | PBE | optimized geometry
data_SrLi2Fe
_chemical_formula_sum 'Sr1 Li2 Fe1'
_cell_length_a 3.5171
_cell_length_b 3.5129
_cell_length_c 7.4930
_cell_angle_alpha 90.00
_cell_angle_beta 90.00
_cell_angle_gamma 90.00
_symmetry_space_group_name_H-M 'P 1'
_symmetry_Int_Tables_number 1
loop_
_symmetry_equiv_pos_as_xyz
'x,y,z'
loop_
_atom_site_label
_atom_site_fract_x
_atom_site_fract_y
_atom_site_fract_z
Li1 0.5000 0.5000 0.1746
Li2 0.0000 0.0000 0.9757
Sr1 0.0000 0.0000 0.5371
Fe1 0.5000 0.5000 0.8125
# Excess energy over the best structure of this formula in the dataset ... 0 meV/atom
# Total energy ... -3.062 eV per atom
# ΔH_f (0 K) ... 166 kJ/mol of formula units
# Total magnetization ... 2.4 μB/f.u.

=====

Entry 8:
# DyBrCl | Alexandria | PBE | optimized geometry
data_DyBrCl
_chemical_formula_sum 'Dy1 Br1 Cl1'
_cell_length_a 3.7986
_cell_length_b 3.7986
_cell_length_c 7.3243
_cell_angle_alpha 90.00
_cell_angle_beta 90.00
_cell_angle_gamma 120.00
_symmetry_space_group_name_H-M 'P 1'
_symmetry_Int_Tables_number 1
loop_
_symmetry_equiv_pos_as_xyz
'x,y,z'
loop_
_atom_site_label
_atom_site_fract_x
_atom_site_fract_y
_atom_site_fract_z
Cl1 0.3333 0.6667 0.5679
Br1 0.0000 0.0000 0.0902
Dy1 0.6667 0.3333 0.3419
# Total energy ... -4.453 eV per atom
# ΔE_f (raw) ... -1745 meV/atom
# Total magnetization ... 0.0 μB/f.u.

=====

Result set for D(E_F): 16.2 9.3 3.5 3.6 4.1 8.5 4.2 1.6 states/eV/f.u., one per record in the order listed.
Result set for mass density: 7.67 4.30 11.60 12.36 7.75 3.65 2.82 5.04 g/cm³, one per record in the order listed.